No. 1
A plane-wave DFT calculation with GGA-PBE was carried out for TeP2Os after structural relaxation.

Properties
- excess energy over the best structure of this formula in the dataset (eV per atom) = 0.908
- volume (Å³ per cell) = 66.9

Cell: 3.1024 4.5625 4.7277 Å, 90.00 90.00 90.00°
With the nearest neighbours (Å) after each atom.
Space group Pmmm (No. 47)
Symmetry-distinct sites (fractional):
Te 0.0000 0.0000 0.0000  4 P 2.76, 4 Os 2.83
P 0.0000 0.5000 0.5000  4 Os 2.76, 4 P 2.83
P 0.5000 0.5000 0.0000  4 Te 2.76, 4 P 2.83
Os 0.5000 0.0000 0.5000  4 P 2.76, 4 Te 2.83


No. 2
A plane-wave DFT calculation with GGA-PBE was carried out for TiNb3Pd after structural relaxation.

Properties
- excess energy over the best structure of this formula in the dataset (eV per atom) = 0.000
- energy of formation from the pure elements (eV/atom) = 0.03
- volume (Å³ per cell) = 176.7

Cell: 2.6988 4.7160 13.8831 Å, 90.00 90.00 90.00°
With the nearest neighbours (Å) after each atom.
Space group Imm2 (No. 44)
Symmetry-distinct sites (fractional):
Ti 0.0000 0.0000 0.0000  2 Ti 2.70, 4 Pd 3.02
Nb 0.0000 0.0000 0.4015  1 Pd 2.69, 4 Nb 2.70-2.79
Nb 0.0000 0.5000 0.2938  4 Nb 2.70-2.79
Nb 0.0000 0.5000 0.6980  2 Nb 2.70, 2 Pd 2.76
Pd 0.0000 0.0000 0.5950  3 Nb 2.69-2.76, 2 Pd 2.70


What did the first record say?
A plane-wave DFT calculation with GGA-PBE was carried out for TeP2Os after structural relaxation.

Properties
- excess energy over the best structure of this formula in the dataset (eV per atom) = 0.908
- volume (Å³ per cell) = 66.9

Cell: 3.1024 4.5625 4.7277 Å, 90.00 90.00 90.00°
With the nearest neighbours (Å) after each atom.
Space group Pmmm (No. 47)
Symmetry-distinct sites (fractional):
Te 0.0000 0.0000 0.0000  4 P 2.76, 4 Os 2.83
P 0.0000 0.5000 0.5000  4 Os 2.76, 4 P 2.83
P 0.5000 0.5000 0.0000  4 Te 2.76, 4 P 2.83
Os 0.5000 0.0000 0.5000  4 P 2.76, 4 Te 2.83


- What is the excess energy over the best structure of this formula in the dataset in the second record?
  0.000 eV per atom